Below is BaInTeI2 after structural relaxation, with properties calculated at the PBE level.

Cell: 6.695 6.695 6.746 Å, 90.00 90.00 90.00°
Site moments in Bohr magnetons follow the coordinates.
Atoms (fractional coordinates):
I: 0.000 0.500 0.000  0.04
I: 0.500 0.000 0.000  0.04
Te: 0.000 0.000 0.500  0.43
Ba: 0.000 0.000 0.000  0.00
In: 0.500 0.500 0.500  0.00

## Properties
Energy in eV/atom: -2.7956
DOS at the Fermi energy in states/eV/f.u.: 6.0
Relative energy among the computed polymorphs in kJ per mole of atoms: 22.0
Energy relative to the elements, uncorrected in meV/atom: -615
Space-group type: No. 123